1.
{
  "formula": "ScTe2W",
  "functional": "GGA-PBE",
  "state": "optimized geometry",
  "total_magnetization_mub_per_fu": 1.1,
  "final_energy_ev_per_atom": -6.035,
  "e_above_lowest_polymorph_mev_per_atom": 603.9,
  "spacegroup": "No. 119",
  "lattice": [[-2.148, 2.148, 4.649], [2.148, -2.148, 4.649], [2.148, 2.148, -4.649]],
  "species": ["Sc", "Te", "Te", "W"],
  "fractional_positions": [[0.000, 0.000, 0.000], [0.250, 0.750, 0.500], [0.500, 0.500, 0.000], [0.750, 0.250, 0.500]]
}

2.
{
  "formula": "ScTe2W",
  "functional": "GGA-PBE",
  "state": "optimized geometry",
  "total_magnetization_mub_per_fu": 0.0,
  "final_energy_ev_per_atom": -6.373,
  "e_above_lowest_polymorph_mev_per_atom": 265.9,
  "spacegroup": "No. 12",
  "lattice": [[4.158, -1.782, 0.000], [4.158, 1.782, 0.000], [-1.395, 0.000, 6.009]],
  "species": ["Sc", "Te", "Te", "W"],
  "fractional_positions": [[0.000, 0.000, 0.000], [0.242, 0.242, 0.725], [0.758, 0.758, 0.275], [0.500, 0.500, 0.500]]
}

3.
{
  "formula": "Sc2TeW",
  "functional": "GGA-PBE",
  "state": "optimized geometry",
  "total_magnetization_mub_per_fu": 0.1,
  "final_energy_ev_per_atom": -7.294,
  "spacegroup": "No. 6",
  "lattice": [[3.442, 0.000, 0.000], [0.000, 4.667, 0.000], [-1.715, 0.000, 5.259]],
  "species": ["Sc", "Sc", "Te", "W"],
  "fractional_positions": [[0.000, 0.000, 0.000], [0.300, 0.500, 0.605], [0.579, 0.500, 0.160], [0.735, 0.000, 0.476]]
}

4.
{
  "formula": "Sc3TeW",
  "functional": "GGA-PBE",
  "state": "optimized geometry",
  "total_magnetization_mub_per_fu": 0.0,
  "final_energy_ev_per_atom": -6.648,
  "e_above_lowest_polymorph_mev_per_atom": 0.0,
  "spacegroup": "No. 221",
  "lattice": [[5.099, 0.000, 0.000], [0.000, 5.099, 0.000], [0.000, 0.000, 5.099]],
  "species": ["Sc", "Sc", "Sc", "Te", "W"],
  "fractional_positions": [[0.000, 0.000, 0.500], [0.000, 0.500, 0.000], [0.500, 0.000, 0.000], [0.500, 0.500, 0.500], [0.000, 0.000, 0.000]]
}

5.
{
  "formula": "ScTeW2",
  "functional": "GGA-PBE",
  "state": "optimized geometry",
  "total_magnetization_mub_per_fu": 0.0,
  "final_energy_ev_per_atom": -8.502,
  "spacegroup": "No. 139",
  "lattice": [[-1.941, 1.941, 4.959], [1.941, -1.941, 4.959], [1.941, 1.941, -4.959]],
  "species": ["Sc", "Te", "W", "W"],
  "fractional_positions": [[0.000, 0.000, 0.000], [0.500, 0.500, 0.000], [0.250, 0.750, 0.500], [0.750, 0.250, 0.500]]
}

6.
{
  "formula": "ScTe2W",
  "functional": "GGA-PBE",
  "state": "optimized geometry",
  "total_magnetization_mub_per_fu": 0.7,
  "final_energy_ev_per_atom": -6.217,
  "e_above_lowest_polymorph_mev_per_atom": 421.3,
  "spacegroup": "No. 166",
  "lattice": [[1.718, 0.992, 8.722], [-1.718, 0.992, 8.722], [0.000, -1.984, 8.722]],
  "species": ["Sc", "Te", "Te", "W"],
  "fractional_positions": [[0.000, 0.000, 0.000], [0.242, 0.242, 0.242], [0.758, 0.758, 0.758], [0.500, 0.500, 0.500]]
}

7.
{
  "formula": "ScTe2W",
  "functional": "GGA-PBE",
  "state": "optimized geometry",
  "total_magnetization_mub_per_fu": 0.0,
  "final_energy_ev_per_atom": -6.419,
  "e_above_lowest_polymorph_mev_per_atom": 220.1,
  "spacegroup": "No. 25",
  "lattice": [[3.555, 0.000, 0.000], [0.000, 5.275, 0.000], [0.000, 0.000, 4.676]],
  "species": ["Sc", "Te", "Te", "W"],
  "fractional_positions": [[0.000, 0.000, 0.000], [0.000, 0.500, 0.791], [0.500, 0.000, 0.473], [0.500, 0.500, 0.262]]
}

8.
{
  "formula": "Sc2TeW",
  "functional": "GGA-PBE",
  "state": "optimized geometry",
  "total_magnetization_mub_per_fu": 0.0,
  "final_energy_ev_per_atom": -7.224,
  "spacegroup": "No. 8",
  "lattice": [[5.302, -1.688, 0.000], [5.302, 1.688, 0.000], [-1.380, 0.000, 4.686]],
  "species": ["Sc", "Sc", "Te", "W"],
  "fractional_positions": [[0.000, 0.000, 0.000], [0.222, 0.222, 0.684], [0.454, 0.454, 0.466], [0.744, 0.744, 0.189]]
}

9.
{
  "formula": "Sc2TeW",
  "functional": "GGA-PBE",
  "state": "optimized geometry",
  "total_magnetization_mub_per_fu": 0.0,
  "final_energy_ev_per_atom": -7.000,
  "spacegroup": "No. 216",
  "lattice": [[0.000, 3.386, 3.386], [3.386, 0.000, 3.386], [3.386, 3.386, 0.000]],
  "species": ["Sc", "Sc", "Te", "W"],
  "fractional_positions": [[0.000, 0.000, 0.000], [0.250, 0.250, 0.250], [0.500, 0.500, 0.500], [0.750, 0.750, 0.750]]
}

10.
{
  "formula": "ScTeW",
  "functional": "GGA-PBE",
  "state": "optimized geometry",
  "total_magnetization_mub_per_fu": 0.0,
  "final_energy_ev_per_atom": -7.280,
  "e_above_lowest_polymorph_mev_per_atom": 481.4,
  "spacegroup": "No. 187",
  "lattice": [[4.699, 0.000, 0.000], [-2.349, 4.069, 0.000], [0.000, 0.000, 3.183]],
  "species": ["Sc", "Te", "W"],
  "fractional_positions": [[0.000, 0.000, 0.000], [0.667, 0.333, 0.500], [0.333, 0.667, 0.500]]
}

11.
{
  "formula": "ScTe2W",
  "functional": "GGA-PBE",
  "state": "optimized geometry",
  "total_magnetization_mub_per_fu": 0.0,
  "final_energy_ev_per_atom": -6.160,
  "e_above_lowest_polymorph_mev_per_atom": 478.7,
  "spacegroup": "No. 10",
  "lattice": [[3.576, 0.000, 0.000], [0.000, 4.369, 0.000], [-0.628, 0.000, 5.791]],
  "species": ["Sc", "Te", "Te", "W"],
  "fractional_positions": [[0.000, 0.000, 0.000], [0.324, 0.500, 0.741], [0.676, 0.500, 0.259], [0.500, 0.000, 0.500]]
}

12.
{
  "formula": "ScTeW2",
  "functional": "GGA-PBE",
  "state": "optimized geometry",
  "total_magnetization_mub_per_fu": 0.0,
  "final_energy_ev_per_atom": -8.592,
  "spacegroup": "No. 6",
  "lattice": [[3.175, 0.000, 0.000], [0.000, 4.335, 0.000], [-0.701, 0.000, 5.627]],
  "species": ["Sc", "Te", "W", "W"],
  "fractional_positions": [[0.000, 0.000, 0.000], [0.555, 0.500, 0.215], [0.326, 0.500, 0.721], [0.592, 0.000, 0.535]]
}

13.
{
  "formula": "ScTeW2",
  "functional": "GGA-PBE",
  "state": "optimized geometry",
  "total_magnetization_mub_per_fu": 0.0,
  "final_energy_ev_per_atom": -8.525,
  "spacegroup": "No. 44",
  "lattice": [[-1.757, 2.361, 4.484], [1.757, -2.361, 4.484], [1.757, 2.361, -4.484]],
  "species": ["Sc", "Te", "W", "W"],
  "fractional_positions": [[0.000, 0.000, 0.000], [0.264, 0.764, 0.500], [0.518, 0.518, 0.000], [0.738, 0.238, 0.500]]
}

14.
{
  "formula": "ScTeW",
  "functional": "GGA-PBE",
  "state": "optimized geometry",
  "total_magnetization_mub_per_fu": 0.0,
  "final_energy_ev_per_atom": -7.333,
  "e_above_lowest_polymorph_mev_per_atom": 429.3,
  "spacegroup": "No. 107",
  "lattice": [[-1.736, 1.736, 5.061], [1.736, -1.736, 5.061], [1.736, 1.736, -5.061]],
  "species": ["Sc", "Te", "W"],
  "fractional_positions": [[0.000, 0.000, 0.000], [0.697, 0.697, 0.000], [0.327, 0.327, 0.000]]
}

15.
{
  "formula": "ScTeW2",
  "functional": "GGA-PBE",
  "state": "optimized geometry",
  "total_magnetization_mub_per_fu": 0.0,
  "final_energy_ev_per_atom": -8.454,
  "spacegroup": "No. 10",
  "lattice": [[3.024, 0.000, 0.000], [0.000, 4.969, 0.000], [-0.064, 0.000, 5.104]],
  "species": ["Sc", "Te", "W", "W"],
  "fractional_positions": [[0.000, 0.000, 0.000], [0.500, 0.000, 0.500], [0.364, 0.500, 0.765], [0.636, 0.500, 0.235]]
}

16.
{
  "formula": "Sc2TeW",
  "functional": "GGA-PBE",
  "state": "optimized geometry",
  "total_magnetization_mub_per_fu": 1.0,
  "final_energy_ev_per_atom": -7.091,
  "spacegroup": "No. 99",
  "lattice": [[3.607, 0.000, 0.000], [0.000, 3.607, 0.000], [0.000, 0.000, 6.265]],
  "species": ["Sc", "Sc", "Te", "W"],
  "fractional_positions": [[0.000, 0.000, 0.000], [0.500, 0.500, 0.276], [0.000, 0.000, 0.527], [0.500, 0.500, 0.751]]
}

17.
{
  "formula": "ScTeW2",
  "functional": "GGA-PBE",
  "state": "optimized geometry",
  "total_magnetization_mub_per_fu": 0.0,
  "final_energy_ev_per_atom": -8.270,
  "spacegroup": "No. 47",
  "lattice": [[3.046, 0.000, 0.000], [0.000, 4.603, 0.000], [0.000, 0.000, 5.456]],
  "species": ["Sc", "Te", "W", "W"],
  "fractional_positions": [[0.000, 0.000, 0.000], [0.000, 0.000, 0.500], [0.500, 0.500, 0.237], [0.500, 0.500, 0.763]]
}

18.
{
  "formula": "ScTe3W",
  "functional": "GGA-PBE",
  "state": "optimized geometry",
  "total_magnetization_mub_per_fu": 1.9,
  "final_energy_ev_per_atom": -5.225,
  "e_above_lowest_polymorph_mev_per_atom": 0.0,
  "spacegroup": "No. 221",
  "lattice": [[5.326, 0.000, 0.000], [0.000, 5.326, 0.000], [0.000, 0.000, 5.326]],
  "species": ["Sc", "Te", "Te", "Te", "W"],
  "fractional_positions": [[0.000, 0.000, 0.000], [0.000, 0.500, 0.500], [0.500, 0.000, 0.500], [0.500, 0.500, 0.000], [0.500, 0.500, 0.500]]
}

19.
{
  "formula": "ScTeW2",
  "functional": "GGA-PBE",
  "state": "optimized geometry",
  "total_magnetization_mub_per_fu": 0.0,
  "final_energy_ev_per_atom": -8.439,
  "spacegroup": "No. 119",
  "lattice": [[-2.150, 2.150, 3.952], [2.150, -2.150, 3.952], [2.150, 2.150, -3.952]],
  "species": ["Sc", "Te", "W", "W"],
  "fractional_positions": [[0.000, 0.000, 0.000], [0.250, 0.750, 0.500], [0.500, 0.500, 0.000], [0.750, 0.250, 0.500]]
}

20.
{
  "formula": "ScTeW2",
  "functional": "GGA-PBE",
  "state": "optimized geometry",
  "total_magnetization_mub_per_fu": 0.0,
  "final_energy_ev_per_atom": -8.545,
  "spacegroup": "No. 12",
  "lattice": [[5.048, -1.673, 0.000], [5.048, 1.673, 0.000], [-1.133, 0.000, 4.407]],
  "species": ["Sc", "Te", "W", "W"],
  "fractional_positions": [[0.000, 0.000, 0.000], [0.500, 0.500, 0.500], [0.245, 0.245, 0.738], [0.755, 0.755, 0.262]]
}

21.
{
  "formula": "Sc2TeW",
  "functional": "GGA-PBE",
  "state": "optimized geometry",
  "total_magnetization_mub_per_fu": 0.6,
  "final_energy_ev_per_atom": -7.193,
  "spacegroup": "No. 166",
  "lattice": [[1.699, 0.981, 8.669], [-1.699, 0.981, 8.669], [0.000, -1.962, 8.669]],
  "species": ["Sc", "Sc", "Te", "W"],
  "fractional_positions": [[0.246, 0.246, 0.246], [0.754, 0.754, 0.754], [0.000, 0.000, 0.000], [0.500, 0.500, 0.500]]
}

22.
{
  "formula": "ScTe2W",
  "functional": "GGA-PBE",
  "state": "optimized geometry",
  "total_magnetization_mub_per_fu": 0.0,
  "final_energy_ev_per_atom": -6.639,
  "e_above_lowest_polymorph_mev_per_atom": 0.0,
  "spacegroup": "No. 99",
  "lattice": [[3.589, 0.000, 0.000], [0.000, 3.589, 0.000], [0.000, 0.000, 7.405]],
  "species": ["Sc", "Te", "Te", "W"],
  "fractional_positions": [[0.000, 0.000, 0.000], [0.000, 0.000, 0.598], [0.500, 0.500, 0.178], [0.500, 0.500, 0.779]]
}

23.
{
  "formula": "ScTeW2",
  "functional": "GGA-PBE",
  "state": "optimized geometry",
  "total_magnetization_mub_per_fu": 0.0,
  "final_energy_ev_per_atom": -8.266,
  "spacegroup": "No. 122",
  "lattice": [[-1.958, 1.958, 10.468], [1.958, -1.958, 10.468], [1.958, 1.958, -10.468]],
  "species": ["Sc", "Sc", "Te", "Te", "W", "W", "W", "W"],
  "fractional_positions": [[0.000, 0.000, 0.000], [0.750, 0.250, 0.500], [0.250, 0.750, 0.500], [0.500, 0.500, 0.000], [0.122, 0.625, 0.997], [0.375, 0.372, 0.497], [0.628, 0.125, 0.003], [0.875, 0.878, 0.503]]
}

24.
{
  "formula": "ScTeW2",
  "functional": "GGA-PBE",
  "state": "optimized geometry",
  "total_magnetization_mub_per_fu": 0.0,
  "final_energy_ev_per_atom": -8.511,
  "spacegroup": "No. 123",
  "lattice": [[3.914, 0.000, 0.000], [0.000, 3.914, 0.000], [0.000, 0.000, 4.855]],
  "species": ["Sc", "Te", "W", "W"],
  "fractional_positions": [[0.000, 0.000, 0.000], [0.500, 0.500, 0.000], [0.000, 0.500, 0.500], [0.500, 0.000, 0.500]]
}

25.
{
  "formula": "ScTe2W",
  "functional": "GGA-PBE",
  "state": "optimized geometry",
  "total_magnetization_mub_per_fu": 0.0,
  "final_energy_ev_per_atom": -6.476,
  "e_above_lowest_polymorph_mev_per_atom": 163.1,
  "spacegroup": "No. 8",
  "lattice": [[4.898, -1.749, 0.000], [4.898, 1.749, 0.000], [-1.104, 0.000, 5.026]],
  "species": ["Sc", "Te", "Te", "W"],
  "fractional_positions": [[0.000, 0.000, 0.000], [0.265, 0.265, 0.892], [0.500, 0.500, 0.486], [0.774, 0.774, 0.337]]
}

26.
{
  "formula": "ScTeW2",
  "functional": "GGA-PBE",
  "state": "optimized geometry",
  "total_magnetization_mub_per_fu": 0.0,
  "final_energy_ev_per_atom": -8.485,
  "spacegroup": "No. 35",
  "lattice": [[1.711, -2.551, 0.000], [1.711, 2.551, 0.000], [0.000, 0.000, 8.983]],
  "species": ["Sc", "Te", "W", "W"],
  "fractional_positions": [[0.000, 0.000, 0.000], [0.500, 0.500, 0.268], [0.000, 0.000, 0.537], [0.500, 0.500, 0.750]]
}

27.
{
  "formula": "ScTeW",
  "functional": "GGA-PBE",
  "state": "optimized geometry",
  "total_magnetization_mub_per_fu": 0.0,
  "final_energy_ev_per_atom": -7.762,
  "e_above_lowest_polymorph_mev_per_atom": 0.0,
  "spacegroup": "No. 129",
  "lattice": [[3.719, 0.000, 0.000], [0.000, 3.719, 0.000], [0.000, 0.000, 9.862]],
  "species": ["Sc", "Sc", "Te", "Te", "W", "W"],
  "fractional_positions": [[0.250, 0.250, 0.242], [0.750, 0.750, 0.758], [0.250, 0.250, 0.645], [0.750, 0.750, 0.355], [0.250, 0.250, 0.964], [0.750, 0.750, 0.036]]
}

28.
{
  "formula": "ScTe2W",
  "functional": "GGA-PBE",
  "state": "optimized geometry",
  "total_magnetization_mub_per_fu": 0.9,
  "final_energy_ev_per_atom": -6.416,
  "e_above_lowest_polymorph_mev_per_atom": 223.0,
  "spacegroup": "No. 123",
  "lattice": [[4.905, 0.000, 0.000], [0.000, 4.905, 0.000], [0.000, 0.000, 3.440]],
  "species": ["Sc", "Te", "Te", "W"],
  "fractional_positions": [[0.000, 0.000, 0.000], [0.000, 0.500, 0.500], [0.500, 0.000, 0.500], [0.500, 0.500, 0.000]]
}

29.
{
  "formula": "YScTe2W",
  "functional": "GGA-PBE",
  "state": "optimized geometry",
  "total_magnetization_mub_per_fu": 1.4,
  "final_energy_ev_per_atom": -5.865,
  "spacegroup": "No. 123",
  "lattice": [[5.414, 0.000, 0.000], [0.000, 5.414, 0.000], [0.000, 0.000, 4.777]],
  "species": ["Y", "Sc", "Te", "Te", "W"],
  "fractional_positions": [[0.000, 0.000, 0.000], [0.500, 0.500, 0.500], [0.000, 0.500, 0.500], [0.500, 0.000, 0.500], [0.500, 0.500, 0.000]]
}

30.
{
  "formula": "Sc2ZnTeW",
  "functional": "GGA-PBE",
  "state": "optimized geometry",
  "total_magnetization_mub_per_fu": 2.6,
  "final_energy_ev_per_atom": -4.845,
  "spacegroup": "No. 123",
  "lattice": [[5.248, 0.000, 0.000], [0.000, 5.248, 0.000], [0.000, 0.000, 4.866]],
  "species": ["Sc", "Sc", "Zn", "Te", "W"],
  "fractional_positions": [[0.000, 0.500, 0.000], [0.500, 0.000, 0.000], [0.000, 0.000, 0.500], [0.000, 0.000, 0.000], [0.500, 0.500, 0.500]]
}